1.
## Ac6Te3RuS2 (PBE)

Data for a relaxed structure of Ac6Te3RuS2.

The structure in POSCAR format:
```
Ac6Te3RuS2
1.0
3.910 -6.743 0.000
3.910 6.743 0.000
-2.596 0.000 7.682
Ac Te Ru S
6 3 1 2
direct
0.071 0.390 0.214
0.247 0.247 0.783
0.390 0.071 0.214
0.610 0.929 0.786
0.753 0.753 0.217
0.929 0.610 0.786
0.172 0.828 0.500
0.500 0.500 0.500
0.828 0.172 0.500
0.000 0.000 0.000
0.334 0.666 0.000
0.666 0.334 0.000
```

Values from the calculation:
**Crystal system**: monoclinic
**ρ**: 7.83 g/cm³
**Calculated total energy**: -5.731 eV per atom
**Space group**: C2/m

---

2.
## Ac2SbRu (PBE)

Data for a relaxed structure of Ac2SbRu.

The structure in POSCAR format:
```
Ac2SbRu
1.0
5.291 0.000 0.000
0.000 5.291 0.000
0.000 0.000 4.197
Ac Sb Ru
2 1 1
direct
0.000 0.500 0.000
0.500 0.000 0.000
0.000 0.000 0.500
0.500 0.500 0.500
```

Values from the calculation:
**Crystal system**: tetragonal
**ΔE to the lowest computed polymorph**: 0.000 eV/atom
**ρ**: 9.56 g/cm³
**Space group**: P4/mmm

---

3.
## AcSb2Ru (PBE)

Data for a relaxed structure of AcSb2Ru.

The structure in POSCAR format:
```
AcSb2Ru
1.0
3.487 0.000 0.000
0.000 3.487 0.000
0.000 0.000 7.994
Ac Sb Ru
1 2 1
direct
0.000 0.000 0.000
0.500 0.500 0.308
0.500 0.500 0.692
0.000 0.000 0.500
```

Values from the calculation:
**Crystal system**: tetragonal
**ΔE to the lowest computed polymorph**: 0.491 eV/atom
**ρ**: 9.77 g/cm³
**Space group**: P4/mmm

---

4.
## Ac12Sb3Ru5 (PBE)

Data for a relaxed structure of Ac12Sb3Ru5.

The structure in POSCAR format:
```
Ac12Sb3Ru5
1.0
-9.129 9.129 9.129
9.129 -9.129 9.129
9.129 9.129 -9.129
Ac Sb Ru
48 12 20
direct
0.023 0.203 0.119
0.023 0.321 0.904
0.083 0.703 0.679
0.083 0.881 0.404
0.096 0.619 0.417
0.096 0.977 0.679
0.119 0.023 0.203
0.119 0.596 0.917
0.179 0.203 0.583
0.179 0.477 0.596
0.203 0.119 0.023
0.203 0.583 0.179
0.297 0.321 0.917
0.297 0.477 0.381
0.321 0.904 0.023
0.321 0.917 0.297
0.381 0.297 0.477
0.381 0.583 0.904
0.404 0.083 0.881
0.404 0.821 0.523
0.417 0.096 0.619
0.417 0.821 0.797
0.477 0.381 0.297
0.477 0.596 0.179
0.523 0.404 0.821
0.523 0.619 0.703
0.583 0.179 0.203
0.583 0.904 0.381
0.596 0.179 0.477
0.596 0.917 0.119
0.619 0.417 0.096
0.619 0.703 0.523
0.679 0.083 0.703
0.679 0.096 0.977
0.703 0.523 0.619
0.703 0.679 0.083
0.797 0.417 0.821
0.797 0.881 0.977
0.821 0.523 0.404
0.821 0.797 0.417
0.881 0.404 0.083
0.881 0.977 0.797
0.904 0.023 0.321
0.904 0.381 0.583
0.917 0.119 0.596
0.917 0.297 0.321
0.977 0.679 0.096
0.977 0.797 0.881
0.125 0.250 0.375
0.125 0.375 0.750
0.250 0.375 0.125
0.250 0.875 0.625
0.375 0.125 0.250
0.375 0.750 0.125
0.625 0.250 0.875
0.625 0.875 0.750
0.750 0.125 0.375
0.750 0.625 0.875
0.875 0.625 0.250
0.875 0.750 0.625
0.000 0.000 0.000
0.000 0.000 0.500
0.000 0.500 0.000
0.000 0.500 0.500
0.125 0.750 0.875
0.125 0.875 0.250
0.250 0.125 0.875
0.250 0.625 0.375
0.375 0.250 0.625
0.375 0.625 0.750
0.500 0.000 0.000
0.500 0.000 0.500
0.500 0.500 0.000
0.500 0.500 0.500
0.625 0.375 0.250
0.625 0.750 0.375
0.750 0.375 0.625
0.750 0.875 0.125
0.875 0.125 0.750
0.875 0.250 0.125
```

Values from the calculation:
**Crystal system**: cubic
**ρ**: 7.85 g/cm³
**Calculated total energy**: -5.684 eV per atom
**Space group**: Ia-3d